# Ti2Ge2Sb (PBE, optimized geometry)
# ΔE to the lowest computed polymorph = 0.0934 eV per atom
# E_form (uncorrected) = -280 meV per atom
data_Ti2Ge2Sb
_chemical_formula_sum 'Ti4 Ge4 Sb2'
_cell_length_a 7.1246
_cell_length_b 7.1246
_cell_length_c 3.6507
_cell_angle_alpha 90.00
_cell_angle_beta 90.00
_cell_angle_gamma 90.00
_space_group_name_H-M_alt 'P 4/m b m'
_space_group_IT_number 127
_space_group_name_Hall '-P 4 2ab'
loop_
_atom_site_label
_atom_site_type_symbol
_atom_site_fract_x
_atom_site_fract_y
_atom_site_fract_z
Ti1 Ti 0.1526 0.3474 0.0000
Ge1 Ge 0.1431 0.6431 0.5000
Sb1 Sb 0.0000 0.0000 0.0000


# BaUSb2O8 (PBE, optimized geometry)
# E_form (uncorrected) = -1989 meV per atom
data_BaUSb2O8
_chemical_formula_sum 'Ba1 U1 Sb2 O8'
_cell_length_a 6.0589
_cell_length_b 6.0589
_cell_length_c 7.6243
_cell_angle_alpha 90.00
_cell_angle_beta 90.00
_cell_angle_gamma 120.00
_space_group_name_H-M_alt 'P -3 m 1'
_space_group_IT_number 164
_space_group_name_Hall '-P 3 2"'
loop_
_atom_site_label
_atom_site_type_symbol
_atom_site_fract_x
_atom_site_fract_y
_atom_site_fract_z
Ba1 Ba 0.0000 0.0000 0.0000
U1 U 0.0000 0.0000 0.5000
Sb1 Sb 0.3333 0.6667 0.2295
O1 O 0.1578 0.3155 0.3159
O2 O 0.3333 0.6667 0.9830


# Sc2ReBr (PBE, optimized geometry)
# ΔE to the lowest computed polymorph = 0.2613 eV per atom
# E_form (uncorrected) = -274 meV per atom
data_Sc2ReBr
_chemical_formula_sum 'Sc4 Re2 Br2'
_cell_length_a 3.3188
_cell_length_b 3.5258
_cell_length_c 15.0087
_cell_angle_alpha 90.00
_cell_angle_beta 90.00
_cell_angle_gamma 90.00
_space_group_name_H-M_alt 'I m m 2'
_space_group_IT_number 44
_space_group_name_Hall 'I 2 -2'
loop_
_atom_site_label
_atom_site_type_symbol
_atom_site_fract_x
_atom_site_fract_y
_atom_site_fract_z
Sc1 Sc 0.0000 0.0000 0.0000
Sc2 Sc 0.0000 0.5000 0.2932
Re1 Re 0.0000 0.0000 0.4184
Br1 Br 0.0000 0.5000 0.6688


# Mn2ZnHg (PBE, optimized geometry)
# ΔE_f = 28.45 kJ per mole of atoms
# ΔE to the lowest computed polymorph = 0.1036 eV per atom
data_Mn2ZnHg
_chemical_formula_sum 'Mn4 Zn2 Hg2'
_cell_length_a 9.3176
_cell_length_b 2.8916
_cell_length_c 4.8779
_cell_angle_alpha 90.00
_cell_angle_beta 102.18
_cell_angle_gamma 90.00
_space_group_name_H-M_alt 'C 1 m 1'
_space_group_IT_number 8
_space_group_name_Hall 'C -2y'
loop_
_atom_site_label
_atom_site_type_symbol
_atom_site_fract_x
_atom_site_fract_y
_atom_site_fract_z
Mn1 Mn 0.0000 0.0000 0.0000
Mn2 Mn 0.2414 0.5000 0.2358
Zn1 Zn 0.2572 0.0000 0.7810
Hg1 Hg 0.9998 0.5000 0.4990


Number 1: D(E_F) 0.866 states/eV per atom, final energy -0.2245 Ha/atom. Number 2: D(E_F) 0.364 states/eV per atom, final energy -0.2603 Ha/atom. Number 3: D(E_F) 0.425 states/eV per atom, final energy -0.2561 Ha/atom. Number 4: D(E_F) 0.763 states/eV per atom, final energy -0.1721 Ha/atom.